Entry A
Below is an optimized crystal structure of LaZn2Ag2, with properties calculated at the PBE level.

## Properties
DOS(E_F): 0.67 states/eV/atom

```
LaZn2Ag2
1.0
2.387 -5.028 0.000
2.387 5.028 0.000
0.000 0.000 9.010
La Zn Ag
2 4 4
Cartesian
2.387 4.104 6.757
2.387 -4.104 2.252
2.387 2.857 0.956
2.387 2.857 3.549
2.387 -2.857 5.461
2.387 -2.857 8.054
2.387 1.018 5.377
2.387 1.018 8.137
2.387 -1.018 0.872
2.387 -1.018 3.632
```

---

Entry B
Below is an optimized crystal structure of LaZn2Ag2, with properties calculated at the PBE level.

## Properties
DOS(E_F): 0.72 states/eV/atom

```
LaZn2Ag2
1.0
8.127 0.000 0.000
0.000 8.127 0.000
0.000 0.000 3.013
La Zn Ag
2 4 4
Cartesian
0.000 0.000 0.000
4.063 4.063 0.000
0.944 3.119 0.000
3.119 7.182 0.000
5.008 0.944 0.000
7.182 5.008 0.000
1.441 5.505 1.506
2.622 1.441 1.506
5.505 6.685 1.506
6.685 2.622 1.506
```

---

Stability ranking, top and bottom: entry A is the most stable and entry B is the least stable.

---

Entry A
Below is an optimized crystal structure of LaZn2Ag2, with properties calculated at the PBE level.

## Properties
DOS(E_F): 0.62 states/eV/atom

```
LaZn2Ag2
1.0
8.172 0.000 0.000
0.000 8.172 0.000
0.000 0.000 2.999
La Zn Ag
2 4 4
Cartesian
0.000 0.000 0.000
4.086 4.086 0.000
1.382 2.704 1.500
2.704 6.790 1.500
5.468 1.382 1.500
6.790 5.468 1.500
1.017 5.103 0.000
3.069 1.017 0.000
5.103 7.155 0.000
7.155 3.069 0.000
```

---

Entry B
Below is an optimized crystal structure of LaZn2Ag2, with properties calculated at the PBE level.

## Properties
DOS(E_F): 0.64 states/eV/atom

```
LaZn2Ag2
1.0
5.480 0.000 0.000
2.734 5.363 0.000
2.708 -0.015 7.496
La Zn Ag
2 4 4
Cartesian
2.044 1.331 1.874
8.878 4.017 5.622
3.394 0.810 5.620
4.771 3.480 1.879
6.151 1.868 5.617
7.528 4.539 1.876
6.137 4.018 7.201
6.142 4.020 4.037
4.780 1.328 3.459
4.785 1.330 0.295
```

---

Stability ranking, top and bottom: entry B is the most stable and entry A is the least stable.

---

Entry A
Below is an optimized crystal structure of LaZn2Ag2, with properties calculated at the PBE level.

## Properties
DOS(E_F): 0.74 states/eV/atom

```
LaZn2Ag2
1.0
-2.177 2.177 5.742
2.177 -2.177 5.742
2.177 2.177 -5.742
La Zn Ag
1 2 2
Cartesian
0.000 0.000 0.000
2.177 0.000 2.871
0.000 2.177 2.871
0.000 0.000 4.376
0.000 0.000 7.108
```

---

Entry B
Below is an optimized crystal structure of LaZn2Ag2, with properties calculated at the PBE level.

## Properties
DOS(E_F): 0.76 states/eV/atom

```
LaZn2Ag2
1.0
-2.172 2.172 5.640
2.172 -2.172 5.640
2.172 2.172 -5.640
La Zn Ag
1 2 2
Cartesian
0.000 0.000 0.000
0.000 0.000 4.377
0.000 0.000 6.903
2.172 0.000 2.820
0.000 2.172 2.820
```

---

Stability ranking, top and bottom: entry B is the most stable and entry A is the least stable.

---

Entry A
Below is an optimized crystal structure of LaZn3Ag, with properties calculated at the PBE level.

## Properties
DOS(E_F): 0.93 states/eV/atom

```
LaZn3Ag
1.0
3.255 -5.289 0.000
3.255 5.289 0.000
0.000 0.000 6.014
La Zn Ag
2 6 2
Cartesian
3.255 2.857 4.510
3.255 -2.857 1.503
1.935 0.000 0.000
1.935 0.000 3.007
3.255 1.624 1.503
3.255 -1.624 4.510
4.574 0.000 0.000
4.574 0.000 3.007
3.255 4.227 1.503
3.255 -4.227 4.510
```

---

Entry B
Below is an optimized crystal structure of LaZn3Ag, with properties calculated at the PBE level.

## Properties
DOS(E_F): 0.48 states/eV/atom

```
LaZn3Ag
1.0
6.510 0.000 0.000
-3.255 5.638 0.000
0.000 0.000 5.666
La Zn Ag
2 6 2
Cartesian
0.000 3.759 1.416
3.255 1.879 4.249
0.000 2.236 4.249
-1.319 4.520 4.249
1.936 1.118 1.416
1.319 4.520 4.249
4.574 1.118 1.416
3.255 3.402 1.416
0.000 0.000 0.000
0.000 0.000 2.833
```

---

Stability ranking, top and bottom: entry A is the most stable and entry B is the least stable.

---

Entry A
Below is an optimized crystal structure of LaZn3Ag, with properties calculated at the PBE level.

## Properties
DOS(E_F): 0.21 states/eV/atom

```
LaZn3Ag
1.0
4.870 0.000 0.000
0.000 4.870 0.000
0.000 0.000 4.870
La Zn Ag
1 3 1
Cartesian
0.000 0.000 0.000
0.000 2.435 2.435
2.435 0.000 2.435
2.435 2.435 0.000
2.435 2.435 2.435
```

---

Entry B
Below is an optimized crystal structure of LaZn3Ag, with properties calculated at the PBE level.

## Properties
DOS(E_F): 1.12 states/eV/atom

```
LaZn3Ag
1.0
5.735 0.000 0.000
0.000 5.735 0.000
0.000 0.000 5.735
La Zn Ag
1 3 1
Cartesian
0.000 0.000 0.000
0.000 0.000 2.868
0.000 2.868 0.000
2.868 0.000 0.000
2.868 2.868 2.868
```

---

Stability ranking, top and bottom: entry A is the most stable and entry B is the least stable.